Record 1
VASP calculation (GGA-PBE) on DyMg2Cd after structural relaxation.

Total magnetization   0.00 μB/f.u.
D(E_F)   2.00 states/eV/f.u.
Polymorph energy (0 for the lowest one)   0.00 eV/f.u.
Theoretical density   5676 kg/m³
Crystal system   tetragonal

Cell lengths 5.1076, 5.1076, 5.1076 Å; angles 119.69, 119.69, 90.54 degrees
Last column: nearest neighbours and their distance in Å.
Sites, in units of the cell vectors:
Dy: 0.0000 0.0000 0.0000  4 Cd 3.13, 4 Mg 3.13
Mg: 0.5000 0.5000 0.0000  4 Cd 3.13, 4 Mg 3.13
Mg: 0.7500 0.2500 0.5000  4 Dy 3.13, 4 Mg 3.13
Cd: 0.2500 0.7500 0.5000  4 Dy 3.13, 4 Mg 3.13

---

Record 2
VASP calculation (GGA-PBE) on Dy5MgCd4 after structural relaxation.

DFT total energy   -0.114 hartree per atom
Total magnetization   0.00 μB/f.u.
D(E_F)   12.90 states/eV/f.u.
Theoretical density   8092 kg/m³
Crystal system   tetragonal

Cell lengths 3.7591, 3.7591, 18.6825 Å; angles 90.00, 90.00, 90.00 degrees
Last column: nearest neighbours and their distance in Å.
Sites, in units of the cell vectors:
Dy: 0.0000 0.0000 0.0000  8 Cd 3.25
Dy: 0.0000 0.0000 0.1995  8 Cd 3.25-3.26
Dy: 0.0000 0.0000 0.3987  4 Cd 3.23, 4 Mg 3.26
Dy: 0.0000 0.0000 0.6013  4 Cd 3.23, 4 Mg 3.26
Dy: 0.0000 0.0000 0.8005  8 Cd 3.25-3.26
Mg: 0.5000 0.5000 0.5000  8 Dy 3.26
Cd: 0.5000 0.5000 0.0998  8 Dy 3.25
Cd: 0.5000 0.5000 0.3008  8 Dy 3.23-3.26
Cd: 0.5000 0.5000 0.6992  8 Dy 3.23-3.26
Cd: 0.5000 0.5000 0.9002  8 Dy 3.25

---

Record 3
VASP calculation (GGA-PBE) on DyMg7Cd4 after structural relaxation.

DFT total energy   -0.057 hartree per atom
Total magnetization   0.00 μB/f.u.
D(E_F)   5.74 states/eV/f.u.
Theoretical density   4424 kg/m³
Crystal system   monoclinic

Cell lengths 6.8822, 6.8822, 10.4234 Å; angles 122.03, 122.03, 46.78 degrees
Last column: nearest neighbours and their distance in Å.
Sites, in units of the cell vectors:
Dy: 0.0000 0.0000 0.0000  2 Mg 2.73
Mg: 0.0622 0.0622 0.3701  3 Cd 2.84-3.12, 1 Mg 2.96
Mg: 0.2190 0.2190 0.8862  4 Cd 2.89-3.12, 2 Mg 2.96-3.02
Mg: 0.3342 0.3342 0.4050  4 Cd 2.81-3.07
Mg: 0.5000 0.5000 0.0000  2 Dy 2.73, 4 Cd 2.83-2.89, 2 Mg 3.02
Mg: 0.6658 0.6658 0.5950  4 Cd 2.81-3.07
Mg: 0.7810 0.7810 0.1138  4 Cd 2.89-3.12, 2 Mg 2.96-3.02
Mg: 0.9378 0.9378 0.6299  3 Cd 2.84-3.12, 1 Mg 2.96
Cd: 0.3006 0.3006 0.6734  6 Mg 2.83-3.07, 1 Cd 2.93
Cd: 0.4276 0.4276 0.2171  7 Mg 2.81-3.12, 1 Cd 2.93
Cd: 0.5724 0.5724 0.7829  7 Mg 2.81-3.12, 1 Cd 2.93
Cd: 0.6994 0.6994 0.3266  6 Mg 2.83-3.07, 1 Cd 2.93

---

Record 4
VASP calculation (GGA-PBE) on Dy6Mg5Cd after structural relaxation.

DFT total energy   -0.116 hartree per atom
Total magnetization   0.00 μB/f.u.
D(E_F)   16.12 states/eV/f.u.
Theoretical density   6209 kg/m³
Crystal system   monoclinic

Cell lengths 5.3527, 7.5153, 8.4699 Å; angles 90.00, 108.38, 90.00 degrees
Last column: nearest neighbours and their distance in Å.
Sites, in units of the cell vectors:
Dy: 0.0000 0.2488 0.0000  2 Cd 3.26, 6 Mg 3.28-3.30
Dy: 0.0000 0.7512 0.0000  2 Cd 3.26, 6 Mg 3.28-3.30
Dy: 0.3315 0.2504 0.6686  7 Mg 3.25-3.28, 1 Cd 3.26
Dy: 0.3315 0.7496 0.6686  7 Mg 3.25-3.28, 1 Cd 3.26
Dy: 0.6685 0.2504 0.3314  7 Mg 3.25-3.28, 1 Cd 3.26
Dy: 0.6685 0.7496 0.3314  7 Mg 3.25-3.28, 1 Cd 3.26
Mg: 0.1712 0.5000 0.3350  8 Dy 3.26-3.29
Mg: 0.1732 0.0000 0.3390  8 Dy 3.25-3.30
Mg: 0.5000 0.5000 0.0000  8 Dy 3.26-3.28
Mg: 0.8268 0.0000 0.6610  8 Dy 3.25-3.30
Mg: 0.8288 0.5000 0.6650  8 Dy 3.26-3.29
Cd: 0.5000 0.0000 0.0000  8 Dy 3.26